BaNb4CrO12 (PBE+U, relaxed); calculated total energy = -8.4857 eV per atom; ρ = 4947 kg/m3; V = 252.7 Å³/cell
1.0
8.006 0.000 0.000
0.000 3.902 4.045
0.000 -3.902 4.045
Ba Nb Cr O
1 4 1 12
Direct
0.000 0.000 0.000
0.255 0.498 0.990
0.255 0.990 0.498
0.745 0.498 0.990
0.745 0.990 0.498
0.500 0.443 0.443
0.000 0.514 0.943
0.000 0.943 0.514
0.218 0.247 0.247
0.256 0.198 0.754
0.256 0.754 0.198
0.311 0.682 0.682
0.500 0.069 0.446
0.500 0.446 0.069
0.689 0.682 0.682
0.744 0.198 0.754
0.744 0.754 0.198
0.782 0.247 0.247